Density functional theory data (GGA-PBE) for crystalline GaHgBi at its relaxed geometry.

Symmetry: P4/nmm, No. 129
Final energy in eV/atom: -2.35
Energy of formation from the pure elements in meV per atom: 55
ΔE to the lowest computed polymorph in meV per atom: 0

Cell: 4.3262 4.3262 9.9340 Å, 90.00 90.00 90.00°
With the nearest neighbours (Å) after each atom.
Sites, in units of the cell vectors:
1 Ga 0.2500 0.7500 0.0000  4 Bi 2.89, 4 Ga 3.06
2 Ga 0.7500 0.2500 0.0000  4 Bi 2.89, 4 Ga 3.06
3 Hg 0.2500 0.2500 0.4250  4 Hg 3.40, 1 Bi 3.79
4 Hg 0.7500 0.7500 0.5750  4 Hg 3.40, 1 Bi 3.79
5 Bi 0.2500 0.2500 0.8065  4 Ga 2.89
6 Bi 0.7500 0.7500 0.1935  4 Ga 2.89